No. 1
The following is a DFT calculation (SCAN) of a PBEsol-optimized structure of BeOsBr.

Cell lengths 2.878, 4.741, 14.023 Å; angles 90.00, 90.00, 90.00 degrees
Space group Fmm2 (No. 42)
Asymmetric unit:
Be 0.000 0.000 0.000
Os 0.000 0.000 0.377
Br 0.000 0.000 0.640

## Properties
Formation energy without anion corrections ... 0.808 eV per atom
Total DFT energy (no corrections) ... -31.090 eV per atom
Distance to the lowest polymorph of the same formula ... 0.00 eV/f.u.
Density ... 9.7 g/cm3

=====

No. 2
The following is a DFT calculation (SCAN) of a PBEsol-optimized structure of Be2OsBr.

Cell lengths 7.810, 3.154, 4.716 Å; angles 90.00, 90.12, 90.00 degrees
Space group C2/m (No. 12)
Asymmetric unit:
Be 0.204 0.000 0.117
Os 0.000 0.500 0.000
Br 0.000 0.000 0.500

## Properties
Formation energy without anion corrections ... 0.562 eV per atom
Total DFT energy (no corrections) ... -24.449 eV per atom
Distance to the lowest polymorph of the same formula ... 1.20 eV/f.u.
Density ... 8.2 g/cm3

=====

No. 3
The following is a DFT calculation (SCAN) of a PBEsol-optimized structure of RbBe2OsBr.

Cell lengths 4.492, 4.492, 5.561 Å; angles 90.00, 90.00, 90.00 degrees
Space group P4/mmm (No. 123)
Asymmetric unit:
Rb 0.000 0.000 0.000
Be 0.000 0.500 0.500
Os 0.500 0.500 0.000
Br 0.000 0.000 0.500

## Properties
Formation energy without anion corrections ... 2.024 eV per atom
Total DFT energy (no corrections) ... -22.133 eV per atom
Density ... 5.5 g/cm3

=====

No. 4
The following is a DFT calculation (SCAN) of a PBEsol-optimized structure of BePBr.

Cell lengths 3.1078, 3.1078, 6.5184 Å; angles 90.00, 90.00, 120.00 degrees
Space group P3m1 (No. 156)
Asymmetric unit:
Be 0.0000 0.0000 0.0000
P 0.6667 0.3333 0.2620
Br 0.3333 0.6667 0.7896

## Properties
Formation energy without anion corrections ... 0.178 eV per atom
Total DFT energy (no corrections) ... -11.226 eV per atom
Distance to the lowest polymorph of the same formula ... 0.35 eV/f.u.
Density ... 3.7 g/cm3

=====

No. 5
The following is a DFT calculation (SCAN) of a PBEsol-optimized structure of BePBr.

Cell lengths 3.251, 3.251, 10.242 Å; angles 90.00, 90.00, 90.00 degrees
Space group I4mm (No. 107)
Asymmetric unit:
Be 0.000 0.000 0.000
P 0.000 0.000 0.536
Br 0.000 0.000 0.776

## Properties
Formation energy without anion corrections ... 0.247 eV per atom
Total DFT energy (no corrections) ... -11.157 eV per atom
Distance to the lowest polymorph of the same formula ... 0.55 eV/f.u.
Density ... 3.7 g/cm3

=====

No. 6
The following is a DFT calculation (SCAN) of a PBEsol-optimized structure of BePBr2.

Cell lengths 6.777, 3.254, 7.959 Å; angles 90.00, 93.30, 90.00 degrees
Space group Cm (No. 8)
Asymmetric unit:
Be 0.000 0.000 0.000
P 0.281 0.000 0.880
Br 0.015 0.500 0.200
Br 0.214 0.000 0.607

## Properties
Formation energy without anion corrections ... -0.315 eV per atom
Total DFT energy (no corrections) ... -13.733 eV per atom
Distance to the lowest polymorph of the same formula ... 0.00 eV/f.u.
Density ... 3.8 g/cm3

=====

No. 7
The following is a DFT calculation (SCAN) of a PBEsol-optimized structure of BePBr.

Cell lengths 2.575, 3.413, 13.986 Å; angles 90.00, 90.00, 90.00 degrees
Space group Imm2 (No. 44)
Asymmetric unit:
Be 0.000 0.000 0.000
P 0.000 0.000 0.431
Br 0.000 0.000 0.157

## Properties
Formation energy without anion corrections ... 0.063 eV per atom
Total DFT energy (no corrections) ... -11.341 eV per atom
Distance to the lowest polymorph of the same formula ... 0.00 eV/f.u.
Density ... 3.2 g/cm3

=====

No. 8
The following is a DFT calculation (SCAN) of a PBEsol-optimized structure of BePBr4.

Cell lengths 8.548, 8.548, 8.548 Å; angles 90.00, 90.00, 90.00 degrees
Space group F-43m (No. 216)
Asymmetric unit:
Be 0.000 0.000 0.000
P 0.250 0.250 0.750
Br 0.125 0.125 0.375

## Properties
Formation energy without anion corrections ... 1.354 eV per atom
Total DFT energy (no corrections) ... -14.078 eV per atom
Density ... 3.8 g/cm3

=====

No. 9
The following is a DFT calculation (SCAN) of a PBEsol-optimized structure of BePBr.

Cell lengths 6.094, 6.094, 6.094 Å; angles 90.00, 90.00, 90.00 degrees
Space group F-43m (No. 216)
Asymmetric unit:
Be 0.000 0.000 0.000
P 0.250 0.250 0.750
Br 0.000 0.000 0.500

## Properties
Formation energy without anion corrections ... 1.149 eV per atom
Total DFT energy (no corrections) ... -10.255 eV per atom
Distance to the lowest polymorph of the same formula ... 3.26 eV/f.u.
Density ... 3.5 g/cm3

=====

No. 10
The following is a DFT calculation (SCAN) of a PBEsol-optimized structure of BePBr2.

Cell lengths 3.075, 3.075, 8.356 Å; angles 90.00, 90.00, 90.00 degrees
Space group P4/mmm (No. 123)
Asymmetric unit:
Be 0.000 0.000 0.000
P 0.000 0.000 0.500
Br 0.500 0.500 0.182

## Properties
Formation energy without anion corrections ... 0.707 eV per atom
Total DFT energy (no corrections) ... -12.710 eV per atom
Distance to the lowest polymorph of the same formula ... 4.09 eV/f.u.
Density ... 4.2 g/cm3

=====

No. 11
The following is a DFT calculation (SCAN) of a PBEsol-optimized structure of BeSiP2Br.

Cell lengths 4.450, 4.450, 4.990 Å; angles 90.00, 90.00, 90.00 degrees
Space group P4/mmm (No. 123)
Asymmetric unit:
Be 0.000 0.000 0.000
Si 0.500 0.500 0.500
P 0.000 0.500 0.500
Br 0.500 0.500 0.000

## Properties
Formation energy without anion corrections ... 1.081 eV per atom
Total DFT energy (no corrections) ... -9.844 eV per atom
Density ... 3.0 g/cm3

=====

No. 12
The following is a DFT calculation (SCAN) of a PBEsol-optimized structure of Be4PbBr.

Cell lengths 7.117, 7.117, 7.117 Å; angles 90.00, 90.00, 90.00 degrees
Space group F-43m (No. 216)
Asymmetric unit:
Be 0.120 0.120 0.380
Pb 0.250 0.250 0.750
Br 0.000 0.000 0.000

## Properties
Formation energy without anion corrections ... 0.776 eV per atom
Total DFT energy (no corrections) ... -18.000 eV per atom
Density ... 6.0 g/cm3